Computed, not measured: InAgPd14 after structural relaxation at the PBE level of DFT.

Values from the calculation:
Energy of formation = -102.5 meV per atom
DFT total energy = -0.367 Ry/atom

POSCAR file:
```
InAgPd14
1.0
5.633 0.000 0.000
0.000 5.633 0.000
0.000 0.000 7.973
In Ag Pd
1 1 14
Cartesian
0.000 0.000 0.000
2.816 2.816 0.000
0.000 0.000 3.986
0.000 2.816 0.000
0.000 2.816 3.986
1.406 1.406 2.016
1.406 1.406 5.957
1.406 4.227 2.016
1.406 4.227 5.957
2.816 0.000 0.000
2.816 0.000 3.986
2.816 2.816 3.986
4.227 1.406 2.016
4.227 1.406 5.957
4.227 4.227 2.016
4.227 4.227 5.957
```